{"formula": "Sb2MoSe", "functional": "GGA-PBE", "state": "optimized geometry", "lattice_angstrom": [[4.4551, 0.0000, 0.0000], [0.0000, 4.4551, 0.0000], [0.0000, 0.0000, 8.5443]], "species": ["Sb", "Sb", "Sb", "Sb", "Mo", "Mo", "Se", "Se"], "frac_coords": [[0.0000, 0.5000, 0.2500], [0.0000, 0.5000, 0.7500], [0.5000, 0.0000, 0.2500], [0.5000, 0.0000, 0.7500], [0.0000, 0.0000, 0.0000], [0.5000, 0.5000, 0.5000], [0.0000, 0.0000, 0.5000], [0.5000, 0.5000, 0.0000]], "e_form_raw_ev_per_atom": 0.5176, "n_ef_per_ev_atom": 0.93, "total_magnetization_mub_per_cell": 2.0, "spacegroup": "I4/mmm (139)", "energy_ev_per_cell": -40.98}